{"formula": "La6Pb7", "functional": "PBE", "state": "relaxed", "magmom_total_mub_per_fu": 0.60, "formation_enthalpy_0k_ev_per_atom": -0.366, "crystal_system": "trigonal", "space_group": "R-3m", "lattice": [[-7.776, 2.682, 8.276], [-5.475, -3.394, 9.730], [-1.905, 1.991, 11.339]], "species": ["La", "La", "La", "La", "La", "La", "Pb", "Pb", "Pb", "Pb", "Pb", "Pb", "Pb"], "fractional_positions": [[0.849, 0.849, 0.849], [0.336, 0.336, 0.336], [0.664, 0.664, 0.664], [0.050, 0.050, 0.050], [0.151, 0.151, 0.151], [0.950, 0.950, 0.950], [0.594, 0.594, 0.080], [0.594, 0.080, 0.594], [0.920, 0.406, 0.406], [0.406, 0.920, 0.406], [0.500, 0.500, 0.500], [0.080, 0.594, 0.594], [0.406, 0.406, 0.920]]}



{"formula": "AcTb2Pt", "functional": "PBE", "state": "relaxed", "magmom_total_mub_per_fu": 0.00, "formation_enthalpy_0k_ev_per_atom": -0.567, "crystal_system": "trigonal", "de_polymorph_ev_per_fu": 0.35, "space_group": "R3m", "lattice": [[-2.999, -1.519, 2.324], [-0.147, -4.008, 0.784], [4.172, -0.550, 8.615]], "species": ["Pt", "Tb", "Tb", "Ac"], "fractional_positions": [[0.666, 0.666, 0.003], [0.278, 0.278, 0.167], [0.055, 0.055, 0.836], [0.502, 0.502, 0.494]]}



{"formula": "La2MnSe", "functional": "PBE", "state": "relaxed", "e_form_raw_ev_per_atom": -0.6067, "magmom_total_mub_per_fu": 2.98, "crystal_system": "tetragonal", "space_group": "P4/mmm", "lattice": [[-0.927, 2.418, 2.742], [1.903, -2.097, 2.492], [6.176, 3.948, -1.394]], "species": ["La", "La", "Se", "Mn"], "fractional_positions": [[0.000, 0.000, 0.503], [0.000, 0.000, 0.997], [0.500, 0.500, 0.750], [0.500, 0.500, 0.250]]}



{"formula": "La6Pm2Y", "functional": "PBE", "state": "relaxed", "magmom_total_mub_per_fu": 0.00, "formation_enthalpy_0k_ev_per_atom": 0.114, "crystal_system": "orthorhombic", "de_polymorph_ev_per_fu": 0.53, "space_group": "Cmmm", "lattice": [[4.792, -9.055, 0.000], [4.792, 9.055, 0.000], [0.000, 0.000, 3.712]], "species": ["La", "La", "La", "La", "La", "La", "Pm", "Pm", "Y"], "fractional_positions": [[0.492, 0.164, 0.000], [0.836, 0.508, 0.000], [0.508, 0.836, 0.000], [0.678, 0.678, 0.500], [0.164, 0.492, 0.000], [0.322, 0.322, 0.500], [0.174, 0.826, 0.500], [0.826, 0.174, 0.500], [0.000, 0.000, 0.000]]}



{"formula": "Si2AsIr", "functional": "PBE", "state": "relaxed", "e_form_raw_ev_per_atom": 0.3195, "magmom_total_mub_per_fu": 0.00, "crystal_system": "tetragonal", "space_group": "P4/mmm", "lattice": [[-4.621, 0.828, -0.278], [-0.061, -1.802, -4.343], [-0.510, -2.495, 1.043]], "species": ["Si", "Si", "As", "Ir"], "fractional_positions": [[0.500, 0.500, 0.000], [0.000, 0.000, 0.000], [0.500, 0.000, 0.500], [0.000, 0.500, 0.500]]}



{"formula": "NiAgSnP2", "functional": "PBE", "state": "relaxed", "magmom_total_mub_per_fu": 0.80, "formation_enthalpy_0k_ev_per_atom": 1.182, "crystal_system": "tetragonal", "space_group": "P4/mmm", "lattice": [[-3.169, -1.193, -3.754], [-2.906, -2.047, 3.103], [-2.413, 4.396, 0.641]], "species": ["Sn", "Ag", "Ni", "P", "P"], "fractional_positions": [[0.000, 0.000, 0.000], [0.500, 0.500, 0.500], [0.000, 0.500, 0.000], [0.000, 0.000, 0.500], [0.500, 0.000, 0.000]]}